[1]
Below is a geometry-optimized BaTeS4 structure, with properties calculated at the GGA-PBE level.

The structure in CIF format:
```
data_BaTeS4
_chemical_formula_sum 'Ba2 Te2 S8'
_cell_length_a 5.958
_cell_length_b 7.806
_cell_length_c 7.806
_cell_angle_alpha 90.00
_cell_angle_beta 90.23
_cell_angle_gamma 90.00
_space_group_name_H-M_alt 'P 1 2/c 1'
_space_group_IT_number 13
_space_group_name_Hall '-P 2yc'
loop_
_atom_site_label
_atom_site_type_symbol
_atom_site_fract_x
_atom_site_fract_y
_atom_site_fract_z
Ba1 Ba 0.000 0.249 0.250
Te1 Te 0.500 0.252 0.750
S1 S 0.258 0.418 0.583
S2 S 0.259 0.085 0.916
```

E_form (uncorrected): -439 meV per atom
Polymorph energy (0 for the lowest one): 0.89 kcal/mol of atoms

[2]
Below is a geometry-optimized SiTeBr2 structure, with properties calculated at the GGA-PBE level.

The structure in CIF format:
```
data_SiTeBr2
_chemical_formula_sum 'Si1 Te1 Br2'
_cell_length_a 5.577
_cell_length_b 3.429
_cell_length_c 7.389
_cell_angle_alpha 90.00
_cell_angle_beta 112.04
_cell_angle_gamma 90.00
_space_group_name_H-M_alt 'P 1 2/m 1'
_space_group_IT_number 10
_space_group_name_Hall '-P 2y'
loop_
_atom_site_label
_atom_site_type_symbol
_atom_site_fract_x
_atom_site_fract_y
_atom_site_fract_z
Si1 Si 0.000 0.000 0.000
Te1 Te 0.500 0.000 0.000
Br1 Br 0.136 0.500 0.274
```

E_form (uncorrected): -83 meV per atom
Polymorph energy (0 for the lowest one): 1.26 kcal/mol of atoms

[3]
Below is a geometry-optimized TiV3Mo structure, with properties calculated at the GGA-PBE level.

The structure in CIF format:
```
data_TiV3Mo
_chemical_formula_sum 'Ti1 V3 Mo1'
_cell_length_a 4.522
_cell_length_b 4.522
_cell_length_c 4.522
_cell_angle_alpha 90.00
_cell_angle_beta 90.00
_cell_angle_gamma 90.00
_space_group_name_H-M_alt 'P m -3 m'
_space_group_IT_number 221
_space_group_name_Hall '-P 4 2 3'
loop_
_atom_site_label
_atom_site_type_symbol
_atom_site_fract_x
_atom_site_fract_y
_atom_site_fract_z
Ti1 Ti 0.000 0.000 0.000
V1 V 0.000 0.500 0.500
Mo1 Mo 0.500 0.500 0.500
```

Formation energy: 1.149 eV per atom
Polymorph energy (0 for the lowest one): 21.53 kcal/mol of atoms

[4]
Below is a geometry-optimized K12Rb7Pt structure, with properties calculated at the GGA-PBE level.

The structure in CIF format:
```
data_K12Rb7Pt
_chemical_formula_sum 'K36 Rb21 Pt3'
_cell_length_a 24.9114
_cell_length_b 24.9114
_cell_length_c 8.1926
_cell_angle_alpha 90.00
_cell_angle_beta 90.00
_cell_angle_gamma 120.00
_space_group_name_H-M_alt 'R -3 m'
_space_group_IT_number 166
_space_group_name_Hall '-R 3 2"'
loop_
_atom_site_label
_atom_site_type_symbol
_atom_site_fract_x
_atom_site_fract_y
_atom_site_fract_z
K1 K 0.0000 0.4094 0.0000
K2 K 0.0950 0.5475 0.5175
Rb1 Rb 0.0000 0.0000 0.0000
Rb2 Rb 0.0716 0.1433 0.3352
Pt1 Pt 0.0000 0.0000 0.5000
```

Formation energy: 0.053 eV per atom

[5]
Below is a geometry-optimized CaAlCuTe2 structure, with properties calculated at the GGA-PBE level.

The structure in CIF format:
```
data_CaAlCuTe2
_chemical_formula_sum 'Ca1 Al1 Cu1 Te2'
_cell_length_a 5.286
_cell_length_b 5.286
_cell_length_c 5.719
_cell_angle_alpha 90.00
_cell_angle_beta 90.00
_cell_angle_gamma 90.00
_space_group_name_H-M_alt 'P 4/m m m'
_space_group_IT_number 123
_space_group_name_Hall '-P 4 2'
loop_
_atom_site_label
_atom_site_type_symbol
_atom_site_fract_x
_atom_site_fract_y
_atom_site_fract_z
Ca1 Ca 0.000 0.000 0.000
Al1 Al 0.000 0.000 0.500
Cu1 Cu 0.500 0.500 0.000
Te1 Te 0.000 0.500 0.500
```

E_form (uncorrected): 360 meV per atom

[6]
Below is a geometry-optimized RbFeNi2 structure, with properties calculated at the GGA-PBE level.

The structure in CIF format:
```
data_RbFeNi2
_chemical_formula_sum 'Rb4 Fe4 Ni8'
_cell_length_a 4.967
_cell_length_b 4.967
_cell_length_c 15.671
_cell_angle_alpha 90.00
_cell_angle_beta 90.00
_cell_angle_gamma 90.00
_space_group_name_H-M_alt 'I 41/a m d'
_space_group_IT_number 141
loop_
_space_group_symop_operation_xyz
'x,y,z'
'-x,-y,-z'
'-y+1/4,x+3/4,z+1/4'
'y+1/4,-x+3/4,-z+1/4'
'-x+1/2,-y,z+1/2'
'x+1/2,y,-z+1/2'
'y+1/4,-x+1/4,z+3/4'
'-y+1/4,x+1/4,-z+3/4'
'x,-y,-z'
'-x,y,z'
'-y+1/4,-x+1/4,-z+3/4'
'y+1/4,x+1/4,z+3/4'
'-x+1/2,y,-z+1/2'
'x+1/2,-y,z+1/2'
'y+1/4,x+3/4,-z+1/4'
'-y+1/4,-x+3/4,z+1/4'
'x+1/2,y+1/2,z+1/2'
'-x+1/2,-y+1/2,-z+1/2'
'-y+3/4,x+1/4,z+3/4'
'y+3/4,-x+1/4,-z+3/4'
'-x,-y+1/2,z'
'x,y+1/2,-z'
'y+3/4,-x+3/4,z+1/4'
'-y+3/4,x+3/4,-z+1/4'
'x+1/2,-y+1/2,-z+1/2'
'-x+1/2,y+1/2,z+1/2'
'-y+3/4,-x+3/4,-z+1/4'
'y+3/4,x+3/4,z+1/4'
'-x,y+1/2,-z'
'x,-y+1/2,z'
'y+3/4,x+1/4,-z+3/4'
'-y+3/4,-x+1/4,z+3/4'
loop_
_atom_site_label
_atom_site_type_symbol
_atom_site_fract_x
_atom_site_fract_y
_atom_site_fract_z
Rb1 Rb 0.000 0.250 0.375
Fe1 Fe 0.000 0.250 0.875
Ni1 Ni 0.000 0.000 0.000
```

Formation energy: 0.874 eV per atom
Polymorph energy (0 for the lowest one): 0.00 kcal/mol of atoms

[7]
Below is a geometry-optimized FeAs structure, with properties calculated at the GGA-PBE level.

The structure in CIF format:
```
data_FeAs
_chemical_formula_sum 'Fe6 As6'
_cell_length_a 3.669
_cell_length_b 8.386
_cell_length_c 5.523
_cell_angle_alpha 90.00
_cell_angle_beta 90.00
_cell_angle_gamma 90.00
_space_group_name_H-M_alt 'A m m 2'
_space_group_IT_number 38
_space_group_name_Hall 'A 2 -2'
loop_
_atom_site_label
_atom_site_type_symbol
_atom_site_fract_x
_atom_site_fract_y
_atom_site_fract_z
Fe1 Fe 0.000 0.000 0.000
Fe2 Fe 0.500 0.234 0.958
As1 As 0.000 0.169 0.677
As2 As 0.500 0.000 0.261
```

Formation energy: -0.015 eV per atom

[8]
Below is a geometry-optimized BaSi2As structure, with properties calculated at the GGA-PBE level.

The structure in CIF format:
```
data_BaSi2As
_chemical_formula_sum 'Ba1 Si2 As1'
_cell_length_a 3.765
_cell_length_b 3.765
_cell_length_c 6.649
_cell_angle_alpha 90.00
_cell_angle_beta 90.00
_cell_angle_gamma 90.00
_space_group_name_H-M_alt 'P 4 m m'
_space_group_IT_number 99
_space_group_name_Hall 'P 4 -2'
loop_
_atom_site_label
_atom_site_type_symbol
_atom_site_fract_x
_atom_site_fract_y
_atom_site_fract_z
Ba1 Ba 0.000 0.000 0.000
Si1 Si 0.000 0.000 0.490
Si2 Si 0.500 0.500 0.326
As1 As 0.500 0.500 0.676
```

E_form (uncorrected): -49 meV per atom